<one>
This record from Alexandria describes a relaxed LaNi2I crystal. The functional is PBE.

Cell lengths 6.831, 6.831, 6.831 Å; angles 90.00, 90.00, 90.00 degrees
Positions (direct):
La1 0.000 0.000 0.000
La2 0.000 0.500 0.500
La3 0.500 0.000 0.500
La4 0.500 0.500 0.000
Ni1 0.250 0.250 0.250
Ni2 0.250 0.250 0.750
Ni3 0.250 0.750 0.250
Ni4 0.250 0.750 0.750
Ni5 0.750 0.250 0.250
Ni6 0.750 0.250 0.750
Ni7 0.750 0.750 0.250
Ni8 0.750 0.750 0.750
I1 0.000 0.000 0.500
I2 0.000 0.500 0.000
I3 0.500 0.000 0.000
I4 0.500 0.500 0.500

Results
DOS(E_F) = 0.710 states/eV per atom



<two>
This record from Alexandria describes a relaxed LaNi2I crystal. The functional is PBE.

Cell lengths 4.668, 4.668, 17.225 Å; angles 90.00, 90.00, 90.00 degrees
Positions (direct):
La1 0.000 0.000 0.000
La2 0.000 0.500 0.250
La3 0.500 0.000 0.750
La4 0.500 0.500 0.500
Ni1 0.066 0.250 0.625
Ni2 0.250 0.566 0.875
Ni3 0.250 0.934 0.375
Ni4 0.434 0.250 0.125
Ni5 0.566 0.750 0.125
Ni6 0.750 0.066 0.375
Ni7 0.750 0.434 0.875
Ni8 0.934 0.750 0.625
I1 0.000 0.000 0.500
I2 0.000 0.500 0.750
I3 0.500 0.000 0.250
I4 0.500 0.500 0.000

Results
DOS(E_F) = 0.740 states/eV per atom



Which one sits at the bottom of the stability order? <one> does.



<one>
This record from Alexandria describes a relaxed LaNi3I crystal. The functional is PBE.

Cell lengths 4.737, 4.737, 4.737 Å; angles 90.00, 90.00, 90.00 degrees
Positions (direct):
La1 0.000 0.000 0.000
Ni1 0.000 0.500 0.500
Ni2 0.500 0.000 0.500
Ni3 0.500 0.500 0.000
I1 0.500 0.500 0.500

Results
DOS(E_F) = 1.443 states/eV per atom



<two>
This record from Alexandria describes a relaxed LaNi3I crystal. The functional is PBE.

Cell lengths 4.867, 4.867, 4.867 Å; angles 90.00, 90.00, 90.00 degrees
Positions (direct):
La1 0.000 0.000 0.000
Ni1 0.000 0.000 0.500
Ni2 0.000 0.500 0.000
Ni3 0.500 0.000 0.000
I1 0.500 0.500 0.500

Results
DOS(E_F) = 0.428 states/eV per atom



Which one sits at the bottom of the stability order? <two> does.